{"formula": "AcNpCr2O6", "functional": "PBE+U", "state": "optimized geometry", "lattice_angstrom": [[3.971, -3.957, 0.000], [3.971, 3.957, 0.000], [-3.933, 0.000, 3.973]], "species": ["Ac", "Np", "Cr", "Cr", "O", "O", "O", "O", "O", "O"], "fractional_positions": [[0.000, 0.000, 0.000], [0.480, 0.480, 0.991], [0.245, 0.745, 0.495], [0.745, 0.245, 0.495], [0.049, 0.464, 0.995], [0.065, 0.457, 0.524], [0.457, 0.065, 0.524], [0.464, 0.049, 0.995], [0.565, 0.565, 0.533], [0.897, 0.897, 0.404]], "total_energy_ev_per_atom": -8.6918, "m_tot_mub_per_cell": 10.00, "space_group": "Cm"}